Material: BeAuN
Method: DFT, GGA-PBE
State: optimized geometry

The total energy comes out at -5.206 eV per atom. As for the uncorrected formation energy: -9 kJ per mole of atoms.

The structure belongs to space group P2_1/m (No. 11); the cell edges are 4.154, 3.168 and 5.891 Å and the angles 90.00°, 90.17° and 90.00°. Symmetry generates all atoms from Be at (0.000, 0.250, 0.117), Au at (0.494, 0.250, 0.724) and N at (0.006, 0.750, 0.187).

Material: BeAuN
Method: DFT, GGA-PBE
State: optimized geometry

The total energy comes out at -5.188 eV per atom. As for the uncorrected formation energy: -8 kJ per mole of atoms.

The structure belongs to space group Pnma (No. 62); the cell edges are 13.620, 2.819 and 4.663 Å and the angles 90.00°, 90.00° and 90.00°. Symmetry generates all atoms from Be at (0.238, 0.250, 0.164), Au at (0.080, 0.250, 0.440) and N at (0.212, 0.750, 0.344).

Material: BeAuN
Method: DFT, GGA-PBE
State: optimized geometry

The total energy comes out at -4.558 eV per atom. As for the uncorrected formation energy: 53 kJ per mole of atoms.

The structure belongs to space group P6_3/mmc (No. 194); the cell edges are 4.1440, 4.1440 and 6.0935 Å and the angles 90.00°, 90.00° and 120.00°. Symmetry generates all atoms from Be at (0.0000, 0.0000, 0.2500), Au at (0.3333, 0.6667, 0.2500) and N at (0.0000, 0.0000, 0.0000).

Material: BeAuN
Method: DFT, GGA-PBE
State: optimized geometry

The total energy comes out at -5.280 eV per atom. As for the uncorrected formation energy: -16 kJ per mole of atoms.

The structure belongs to space group Imm2 (No. 44); the cell edges are 2.907, 10.240 and 4.743 Å and the angles 90.00°, 90.00° and 90.00°. Symmetry generates all atoms from Be at (0.000, 0.238, 0.000), Au at (0.000, 0.000, 0.329), Au at (0.000, 0.500, 0.327) and N at (0.000, 0.292, 0.337).

- What is the formula in the third record?
  BeAuN